InAgPd after structural relaxation. Source: Alexandria via LeMat-Bulk, functional PBE-GGA.

```
InAgPd
1.0
0.000 3.179 3.179
3.179 0.000 3.179
3.179 3.179 0.000
In Ag Pd
1 1 1
direct
0.000 0.000 0.000 In
0.500 0.500 0.500 Ag
0.750 0.750 0.750 Pd
```

Calculated values
Crystal system: cubic
Total magnetic moment in μB/atom: 0.000
Energy relative to the lowest polymorph listed for this composition in meV/atom: 156.0